DFT (PBE-GGA) results for crystalline TmPaCu2 at its relaxed geometry.

As for the total moment: 0.00 μB/cell. As for the relative energy among the computed polymorphs: 0.0 kJ per mole of atoms. As for the formation energy: -0.84 kcal/mol of atoms. The calculation puts the mass density at 11.1 g cm⁻³.

abc: 3.2641 3.2641 7.4190
angles: 90.00 90.00 90.00
Closest atoms and distances in Å follow each position.
Space group P4/mmm (No. 123)
Asymmetric unit:
1 Tm 0.0000 0.0000 0.0000 (multiplicity 1)  8 Cu 2.92, 4 Tm 3.26
2 Pa 0.0000 0.0000 0.5000 (multiplicity 1)  8 Cu 3.00, 4 Pa 3.26
3 Cu 0.5000 0.5000 0.2413 (multiplicity 2)  4 Tm 2.92, 4 Pa 3.00, 4 Cu 3.26